Density functional theory data (PBE) for crystalline ZnInSe3 at its relaxed geometry.

Cell: 7.929 8.414 8.414 Å, 68.27 76.38 76.38°
Positions (direct):
In  0.250  0.089  0.911
Zn  0.257  0.197  0.348
Se  0.618  0.050  0.764
Se  0.843  0.985  0.337
Zn  0.743  0.803  0.652
Se  0.035  0.602  0.652
Se  0.965  0.398  0.348
In  0.750  0.349  0.651
Se  0.465  0.348  0.398
Se  0.343  0.337  0.985
In  0.750  0.911  0.089
Se  0.657  0.663  0.015
Se  0.382  0.950  0.236
Zn  0.243  0.652  0.803
Se  0.882  0.236  0.950
Se  0.535  0.652  0.602
Se  0.118  0.764  0.050
Se  0.157  0.015  0.663
In  0.250  0.651  0.349
Zn  0.757  0.348  0.197

**Mass density**: 5.54 g/cm3
**E above lowest polymorph**: 0.0 meV per atom
**Energy relative to the elements, uncorrected**: -287 meV/atom
**Calculated total energy**: -63.60 eV/cell
**Symmetry**: C2/c, No. 15

---

Density functional theory data (PBE) for crystalline ZnIn3Se at its relaxed geometry.

Cell: 5.194 5.194 5.194 Å, 90.00 90.00 90.00°
Positions (direct):
In  0.000  0.500  0.000
Se  0.500  0.500  0.500
In  0.500  0.000  0.000
In  0.000  0.000  0.500
Zn  0.000  0.000  0.000

**Mass density**: 5.79 g/cm3
**E above lowest polymorph**: 0.0 meV per atom
**Energy relative to the elements, uncorrected**: 89 meV/atom
**Calculated total energy**: -12.53 eV/cell
**Symmetry**: Pm-3m, No. 221

---

Density functional theory data (PBE) for crystalline ZnIn2Se4 at its relaxed geometry.

Cell: 7.991 7.991 7.991 Å, 60.00 60.00 60.00°
Positions (direct):
Se  0.379  0.379  0.862
Se  0.379  0.862  0.379
In  0.625  0.625  0.625
In  0.625  0.625  0.125
Se  0.871  0.871  0.388
Zn  0.000  0.000  0.000
Se  0.871  0.388  0.871
Zn  0.250  0.250  0.250
Se  0.871  0.871  0.871
In  0.625  0.125  0.625
Se  0.862  0.379  0.379
Se  0.388  0.871  0.871
Se  0.379  0.379  0.379
In  0.125  0.625  0.625

**Mass density**: 5.62 g/cm3
**Energy relative to the elements, uncorrected**: -540 meV/atom
**Calculated total energy**: -48.94 eV/cell
**Symmetry**: Fd-3m, No. 227

---

Density functional theory data (PBE) for crystalline ZnInSe3 at its relaxed geometry.

Cell: 5.298 5.298 5.298 Å, 90.00 90.00 90.00°
Positions (direct):
In  0.000  0.000  0.000
Se  0.000  0.500  0.000
Se  0.500  0.000  0.000
Se  0.000  0.000  0.500
Zn  0.500  0.500  0.500

**Mass density**: 4.66 g/cm3
**E above lowest polymorph**: 777.1 meV per atom
**Energy relative to the elements, uncorrected**: 491 meV/atom
**Calculated total energy**: -12.01 eV/cell
**Symmetry**: Pm-3m, No. 221